[1]
CaCo2: PBEsol geometry, SCAN.

abc: 3.9714 3.9714 12.9702
angles: 90.00 90.00 90.00
With the nearest neighbours (Å) after each atom.
Space group I4_1/amd (No. 141, origin choice 2)
Inequivalent atoms, fractional coordinates:
Ca: 0.0000 0.2500 0.3750 x4  12 Co 2.92-3.02
Co: 0.0000 0.2500 0.7903 x8  3 Co 2.20-2.24

Output
DFT formation energy	1.11	eV per formula unit
crystal system	tetragonal
DOS(E_F)	10.13	states/eV per cell
total moment	0.895	μB per atom

---

[2]
CaCo2: PBEsol geometry, SCAN.

abc: 3.7431 3.7431 4.3434
angles: 90.00 90.00 120.00
With the nearest neighbours (Å) after each atom.
Space group P6/mmm (No. 191)
Inequivalent atoms, fractional coordinates:
Ca: 0.0000 0.0000 0.0000 x1  12 Co 3.06
Co: 0.3333 0.6667 0.5000 x2  3 Co 2.16

Output
DFT formation energy	0.85	eV per formula unit
crystal system	hexagonal
DOS(E_F)	1.60	states/eV per cell
total moment	0.744	μB per atom

---

- Which value of total moment does entry 1 give?
  0.895 μB per atom

---

- The lowest total moment belongs to which entry?
  number 2

---

- total moment of number 2 (CaCo2)?
  0.744 μB per atom

---

- The lowest DFT formation energy belongs to which entry?
  number 2